VASP calculation (PBE+U) on a geometry-optimized CdGe2MoO6 structure.

It has space group C2/c (No. 15), with a = 9.904 Å, b = 9.691 Å, c = 5.638 Å, α = 90.00°, β = 100.13° and γ = 90.00°. The inequivalent atoms are Cd at (0.000, 0.090, 0.250), Ge at (0.191, 0.407, 0.292), Mo at (0.000, 0.281, 0.750), O at (0.116, 0.269, 0.110), O at (0.123, 0.109, 0.648) and O at (0.143, 0.431, 0.611).

For the total magnetization, the calculation gives 12.6 Bohr magnetons per cell. The calculation puts the density of states at the Fermi level at 7.9 states/eV/cell. As for the energy: -6.094 eV/atom. Its volume is 13.317 Å³/atom.